No. 1
DFT (PBE) results for a geometry-optimized RbBa2InTe4 structure.

```
16
Lattice="9.8123 0.0543 0.0273 0.0474 9.8123 0.0272 -4.8323 -4.8357 6.9445" Properties=species:S:1:pos:R:3 pbc="T T T"
Te 4.5139 0.4557 3.4575
Te 4.9311 4.9831 3.5484
Te 0.5135 4.5752 3.5415
Te 2.1085 7.8136 0.0693
Te 2.5615 2.6118 6.9502
Te 2.4658 2.4190 0.0487
Te 0.0965 0.0480 3.4509
Te 2.9188 -2.7827 6.9297
In 2.5132 2.5149 3.4997
In 5.0274 5.0310 6.9983
Rb 0.0237 4.9062 0.0136
Rb -2.3925 2.4883 3.4859
Ba -2.4161 -2.4178 3.4722
Ba 4.9298 4.9333 0.0273
Ba 2.4900 -2.3907 3.4859
Ba 4.9062 0.0271 0.0136
```

Space-group type: Imma (74)
Raw total energy, Ha/atom: -0.1305


No. 2
DFT (PBE) results for a geometry-optimized CaLa2TbTe4 structure.

```
8
Lattice="4.4780 0.0000 0.0000 0.0000 7.8431 -0.1919 0.0000 2.7255 7.3032" Properties=species:S:1:pos:R:3 pbc="T T T"
Te 2.2390 4.1013 5.3839
Te 4.4780 2.7370 1.7556
Te 0.0001 7.8315 5.3557
Te 2.2390 6.4673 1.7275
Tb 0.0000 5.2842 3.5557
La 0.0000 2.7255 7.3032
La 2.2390 1.3627 3.6516
Ca 2.2390 3.9215 -0.0959
```

Space-group type: P2/m (10)
Raw total energy, Ha/atom: -0.1893


No. 3
DFT (PBE) results for a geometry-optimized Pr2InPd3 structure.

```
6
Lattice="-0.6930 -3.5232 -2.9954 -0.3160 -3.6172 4.3277 -4.8983 4.3875 -0.3776" Properties=species:S:1:pos:R:3 pbc="T T T"
Pd -3.9992 0.6050 0.2136
Pd 0.0000 0.0000 0.0000
Pd -1.9082 -3.3578 0.7411
In -0.1580 -1.8086 2.1638
Pr -3.5773 -1.2913 2.3465
Pr -2.3300 -1.4615 -1.3917
```

DFT formation energy, kJ/mol of atoms: -57
Space-group type: Immm (71)


No. 4
DFT (PBE) results for a geometry-optimized Dy2PaRh3 structure.

```
12
Lattice="5.6044 0.0000 0.0000 0.0000 6.9862 0.0436 -2.8022 -1.7167 6.5414" Properties=species:S:1:pos:R:3 pbc="T T T"
Rh -0.5837 -0.4614 1.9339
Rh 2.4289 1.7466 0.0109
Rh 2.2185 2.2378 4.6293
Rh 3.1755 5.2397 0.0327
Rh 0.5837 3.0317 1.9557
Rh 3.3859 5.7309 4.6511
Pa 5.0241 1.7466 0.0109
Pa 0.5803 5.2397 0.0327
Dy -0.5820 1.4159 4.2277
Dy 0.5820 4.9090 4.2495
Dy 3.3842 3.8537 2.3573
Dy 2.2202 0.3606 2.3355
```

ΔE to the lowest computed polymorph, kJ per mole of atoms: 0.0
DFT formation energy, kJ/mol of atoms: -77
Space-group type: C2/c (15)


No. 5
DFT (PBE) results for a geometry-optimized MgSiRuRh structure.

```
4
Lattice="4.2397 0.0000 0.0000 2.1198 3.6717 0.0000 2.1198 1.2239 3.4617" Properties=species:S:1:pos:R:3 pbc="T T T"
Mg 4.2397 2.4478 1.7308
Ru 6.3595 3.6717 2.5963
Si 0.0000 0.0000 0.0000
Rh 2.1198 1.2239 0.8654
```

Space-group type: F-43m (216)
Raw total energy, Ha/atom: -0.2392


No. 6
DFT (PBE) results for a geometry-optimized Zr2TlGe structure.

```
8
Lattice="7.6838 0.0000 0.0000 0.0000 7.6838 0.0000 3.8419 3.8419 3.0753" Properties=species:S:1:pos:R:3 pbc="T T T"
Zr 5.7628 5.9082 2.3065
Zr 5.6175 1.9209 0.7688
Zr 9.6047 9.4594 2.3065
Zr 2.0663 5.7628 0.7688
Tl 0.0000 0.0000 0.0000
Tl 7.6838 3.8419 1.5376
Ge 3.8419 7.6838 1.5376
Ge 3.8419 3.8419 0.0000
```

DFT formation energy, kJ/mol of atoms: -14
Space-group type: I-42d (122)


Number 1: V 41.9 A^3/atom. Number 2: V 32.4 A^3/atom. Number 3: V 24.1 A^3/atom. Number 4: V 21.4 A^3/atom. Number 5: V 13.5 A^3/atom. Number 6: V 22.7 A^3/atom.